Version A
{"formula": "TePt5", "functional": "PBE-GGA", "state": "relaxed", "vol_a3_per_cell": 107, "m_tot_mub_per_atom": 0.000, "lattice": [[0.000, 3.767, 3.767], [3.767, 0.000, 3.767], [3.767, 3.767, 0.000]], "species": ["Te", "Pt", "Pt", "Pt", "Pt", "Pt"], "fractional_positions": [[0.000, 0.000, 0.000], [0.375, 0.375, 0.375], [0.375, 0.375, 0.874], [0.375, 0.874, 0.375], [0.750, 0.750, 0.750], [0.874, 0.375, 0.375]]}

Version B
{"formula": "TePt5", "functional": "PBE-GGA", "state": "relaxed", "vol_a3_per_cell": 101, "m_tot_mub_per_atom": 0.000, "lattice": [[4.940, 0.000, 0.000], [-2.470, 4.278, 0.000], [0.000, 0.000, 4.781]], "species": ["Te", "Pt", "Pt", "Pt", "Pt", "Pt"], "fractional_positions": [[0.000, 0.000, 0.000], [0.000, 0.653, 0.500], [0.333, 0.667, 0.000], [0.347, 0.347, 0.500], [0.653, 0.000, 0.500], [0.667, 0.333, 0.000]]}

Version C
{"formula": "TePt5", "functional": "PBE-GGA", "state": "relaxed", "vol_a3_per_cell": 111, "m_tot_mub_per_atom": 0.099, "lattice": [[5.319, 0.000, 0.000], [-2.660, 4.607, 0.000], [0.000, 0.000, 4.538]], "species": ["Te", "Pt", "Pt", "Pt", "Pt", "Pt"], "fractional_positions": [[0.000, 0.000, 0.000], [0.000, 0.500, 0.500], [0.333, 0.667, 0.000], [0.500, 0.000, 0.500], [0.500, 0.500, 0.500], [0.667, 0.333, 0.000]]}

Version D
{"formula": "TePt5", "functional": "PBE-GGA", "state": "relaxed", "vol_a3_per_cell": 103, "m_tot_mub_per_atom": 0.000, "lattice": [[4.460, -1.803, 0.000], [4.460, 1.803, 0.000], [-2.514, 0.000, 6.377]], "species": ["Te", "Pt", "Pt", "Pt", "Pt", "Pt"], "fractional_positions": [[0.000, 0.000, 0.000], [0.000, 0.000, 0.500], [0.333, 0.333, 0.177], [0.333, 0.333, 0.655], [0.667, 0.667, 0.345], [0.667, 0.667, 0.823]]}

Here is how they stack up, most stable first: version B, version D, version C, version A.

Version A
{"formula": "TePt5", "functional": "PBE-GGA", "state": "relaxed", "vol_a3_per_cell": 101, "m_tot_mub_per_atom": 0.000, "lattice": [[1.919, -6.276, 0.000], [1.919, 6.276, 0.000], [0.000, 0.000, 4.199]], "species": ["Te", "Pt", "Pt", "Pt", "Pt", "Pt"], "fractional_positions": [[0.000, 0.000, 0.000], [0.173, 0.827, 0.500], [0.335, 0.665, 0.000], [0.500, 0.500, 0.500], [0.665, 0.335, 0.000], [0.827, 0.173, 0.500]]}

Version B
{"formula": "TePt5", "functional": "PBE-GGA", "state": "relaxed", "vol_a3_per_cell": 102, "m_tot_mub_per_atom": 0.000, "lattice": [[3.485, 0.000, 0.000], [0.000, 3.485, 0.000], [0.000, 0.000, 8.422]], "species": ["Te", "Pt", "Pt", "Pt", "Pt", "Pt"], "fractional_positions": [[0.000, 0.000, 0.000], [0.000, 0.000, 0.340], [0.000, 0.000, 0.660], [0.500, 0.500, 0.174], [0.500, 0.500, 0.500], [0.500, 0.500, 0.826]]}

Here is how they stack up, most stable first: version A, version B.

Version A
{"formula": "Te3Pt4", "functional": "PBE-GGA", "state": "relaxed", "vol_a3_per_cell": 149, "m_tot_mub_per_atom": 0.000, "lattice": [[-1.814, 1.814, 11.345], [1.814, -1.814, 11.345], [1.814, 1.814, -11.345]], "species": ["Te", "Te", "Te", "Pt", "Pt", "Pt", "Pt"], "fractional_positions": [[0.000, 0.000, 0.000], [0.323, 0.323, 0.000], [0.677, 0.677, 0.000], [0.130, 0.130, 0.000], [0.438, 0.438, 0.000], [0.562, 0.562, 0.000], [0.870, 0.870, 0.000]]}

Version B
{"formula": "Te3Pt4", "functional": "PBE-GGA", "state": "relaxed", "vol_a3_per_cell": 158, "m_tot_mub_per_atom": 0.000, "lattice": [[6.193, 0.000, 0.000], [-3.097, 5.364, 0.000], [0.000, 0.000, 4.757]], "species": ["Te", "Te", "Te", "Pt", "Pt", "Pt", "Pt"], "fractional_positions": [[0.000, 0.500, 0.000], [0.500, 0.000, 0.000], [0.500, 0.500, 0.000], [0.000, 0.000, 0.251], [0.000, 0.000, 0.749], [0.333, 0.667, 0.500], [0.667, 0.333, 0.500]]}

Here is how they stack up, most stable first: version A, version B.

Version A
{"formula": "Ti2TePt2", "functional": "PBE-GGA", "state": "relaxed", "vol_a3_per_cell": 182, "m_tot_mub_per_atom": 0.000, "lattice": [[7.605, 0.000, 0.000], [0.000, 7.605, 0.000], [0.000, 0.000, 3.146]], "species": ["Ti", "Ti", "Ti", "Ti", "Te", "Te", "Pt", "Pt", "Pt", "Pt"], "fractional_positions": [[0.158, 0.342, 0.000], [0.342, 0.842, 0.000], [0.658, 0.158, 0.000], [0.842, 0.658, 0.000], [0.000, 0.000, 0.000], [0.500, 0.500, 0.000], [0.131, 0.631, 0.500], [0.369, 0.131, 0.500], [0.631, 0.869, 0.500], [0.869, 0.369, 0.500]]}

Version B
{"formula": "Ti2TePt2", "functional": "PBE-GGA", "state": "relaxed", "vol_a3_per_cell": 181, "m_tot_mub_per_atom": 0.000, "lattice": [[7.788, 0.000, 0.000], [0.000, 7.788, 0.000], [0.000, 0.000, 2.985]], "species": ["Ti", "Ti", "Ti", "Ti", "Te", "Te", "Pt", "Pt", "Pt", "Pt"], "fractional_positions": [[0.157, 0.343, 0.000], [0.343, 0.843, 0.000], [0.657, 0.157, 0.000], [0.843, 0.657, 0.000], [0.000, 0.000, 0.500], [0.500, 0.500, 0.500], [0.133, 0.633, 0.500], [0.367, 0.133, 0.500], [0.633, 0.867, 0.500], [0.867, 0.367, 0.500]]}

Here is how they stack up, most stable first: version B, version A.

Version A
{"formula": "TiTe3Pt", "functional": "PBE-GGA", "state": "relaxed", "vol_a3_per_cell": 140, "m_tot_mub_per_atom": 0.000, "lattice": [[5.194, 0.000, 0.000], [0.000, 5.194, 0.000], [0.000, 0.000, 5.194]], "species": ["Ti", "Te", "Te", "Te", "Pt"], "fractional_positions": [[0.000, 0.000, 0.000], [0.000, 0.000, 0.500], [0.000, 0.500, 0.000], [0.500, 0.000, 0.000], [0.500, 0.500, 0.500]]}

Version B
{"formula": "TiTe3Pt", "functional": "PBE-GGA", "state": "relaxed", "vol_a3_per_cell": 146, "m_tot_mub_per_atom": 0.004, "lattice": [[5.261, 0.000, 0.000], [0.000, 5.261, 0.000], [0.000, 0.000, 5.261]], "species": ["Ti", "Te", "Te", "Te", "Pt"], "fractional_positions": [[0.000, 0.000, 0.000], [0.000, 0.500, 0.500], [0.500, 0.000, 0.500], [0.500, 0.500, 0.000], [0.500, 0.500, 0.500]]}

Here is how they stack up, most stable first: version A, version B.

Version A
{"formula": "TlTe2Pt", "functional": "PBE-GGA", "state": "relaxed", "vol_a3_per_cell": 115, "m_tot_mub_per_atom": 0.000, "lattice": [[2.034, 1.174, 8.032], [-2.034, 1.174, 8.032], [0.000, -2.349, 8.032]], "species": ["Tl", "Te", "Te", "Pt"], "fractional_positions": [[0.000, 0.000, 0.000], [0.557, 0.557, 0.557], [0.773, 0.773, 0.773], [0.165, 0.165, 0.165]]}

Version B
{"formula": "TlTe2Pt", "functional": "PBE-GGA", "state": "relaxed", "vol_a3_per_cell": 123, "m_tot_mub_per_atom": 0.000, "lattice": [[5.812, -1.950, 0.000], [5.812, 1.950, 0.000], [-2.843, 0.000, 5.410]], "species": ["Tl", "Te", "Te", "Pt"], "fractional_positions": [[0.000, 0.000, 0.000], [0.173, 0.173, 0.645], [0.827, 0.827, 0.355], [0.500, 0.500, 0.500]]}

Here is how they stack up, most stable first: version A, version B.